# 1
First-principles (GGA-PBE) data for crystalline U2Ag2Se7 at its relaxed geometry, as listed in Alexandria via LeMat-Bulk.

Cell and atoms, written as extended XYZ:
```
11
Lattice="-1.609 0.329 3.759 4.750 -5.834 4.781 6.984 2.328 5.024" Properties=species:S:1:pos:R:3 pbc="T T T"
Se 6.178 2.484 6.903
Se 3.456 -2.145 6.143
Ag 7.672 -3.161 10.275
U 5.241 -4.038 4.835
U 5.437 -0.221 6.823
Se 6.151 -2.920 7.365
Ag 2.069 -1.417 3.248
Se 6.281 -0.122 9.414
Se 1.079 0.590 4.886
Se 4.800 0.438 4.255
Se 9.571 -1.850 8.735
```

Values from the calculation:
- SG = Imm2, No. 44
- size of the total moment (μB/atom) = 0.060
- electronic total energy (eV/atom) = -5.323
- formation energy (no corrections) (eV/atom) = -0.534
- V (Å³ per cell) = 262.91


# 2
First-principles (GGA-PBE) data for crystalline UAg5Se5 at its relaxed geometry, as listed in Alexandria via LeMat-Bulk.

Cell and atoms, written as extended XYZ:
```
11
Lattice="-4.423 1.467 -3.076 1.083 -6.926 0.207 -3.891 1.885 6.492" Properties=species:S:1:pos:R:3 pbc="T T T"
Se -2.211 0.734 -1.538
Ag -5.878 0.269 3.512
Se -5.559 -1.974 1.983
Se -1.671 -1.600 1.640
Ag -1.352 -3.843 0.111
Se -3.480 -0.345 4.838
Se -3.750 -3.230 -1.216
U 0.000 0.000 0.000
Ag -3.388 -2.919 3.479
Ag -1.945 0.942 3.246
Ag -3.842 -0.655 0.144
```

Values from the calculation:
- SG = C2/m, No. 12
- size of the total moment (μB/atom) = 0.106
- electronic total energy (eV/atom) = -4.228
- formation energy (no corrections) (eV/atom) = -0.321
- V (Å³ per cell) = 265.72


# 3
First-principles (GGA-PBE) data for crystalline UAg4Se4 at its relaxed geometry, as listed in Alexandria via LeMat-Bulk.

Cell and atoms, written as extended XYZ:
```
9
Lattice="-2.399 3.351 0.392 -5.170 -0.465 -5.815 -7.448 -2.963 1.594" Properties=species:S:1:pos:R:3 pbc="T T T"
Ag -9.588 -1.573 -1.519
U -1.200 1.675 0.196
Se -3.459 0.177 -0.822
Se -11.559 -0.253 -3.007
Ag -5.430 1.497 -2.310
Ag -5.183 -1.242 0.751
Ag -9.835 1.165 -4.580
Se -5.442 -0.884 -3.898
Se -9.576 0.807 0.069
```

Values from the calculation:
- SG = C2/m, No. 12
- size of the total moment (μB/atom) = 0.220
- electronic total energy (eV/atom) = -4.483
- formation energy (no corrections) (eV/atom) = -0.412
- V (Å³ per cell) = 220.49


# 4
First-principles (GGA-PBE) data for crystalline UAgSe4 at its relaxed geometry, as listed in Alexandria via LeMat-Bulk.

Cell and atoms, written as extended XYZ:
```
12
Lattice="7.333 0.000 -0.323 0.000 6.697 0.000 -0.445 0.000 6.452" Properties=species:S:1:pos:R:3 pbc="T T T"
Se 4.425 0.980 5.529
Se 6.401 0.766 2.265
Se 2.734 2.583 2.426
Se 4.154 4.115 3.703
Ag 3.444 0.000 3.065
U 0.000 0.000 0.000
Se 2.463 5.717 0.601
U 3.667 3.349 -0.161
Se 0.759 2.369 5.690
Se 0.487 5.931 3.864
Ag -0.223 3.349 3.226
Se 6.130 4.329 0.439
```

Values from the calculation:
- SG = P2_1/c, No. 14
- size of the total moment (μB/atom) = 0.169
- electronic total energy (eV/atom) = -5.174
- formation energy (no corrections) (eV/atom) = -0.494
- V (Å³ per cell) = 315.93


# 5
First-principles (GGA-PBE) data for crystalline UAgSe2 at its relaxed geometry, as listed in Alexandria via LeMat-Bulk.

Cell and atoms, written as extended XYZ:
```
4
Lattice="-0.324 1.929 -3.454 -2.432 -1.375 -2.821 -6.186 4.055 0.564" Properties=species:S:1:pos:R:3 pbc="T T T"
Ag -8.024 4.425 -3.619
U -4.467 2.302 -2.858
Se -4.903 3.112 -0.083
Se -2.207 1.131 -1.442
```

Values from the calculation:
- SG = R3m, No. 160
- size of the total moment (μB/atom) = 0.750
- electronic total energy (eV/atom) = -5.923
- formation energy (no corrections) (eV/atom) = -0.646
- V (Å³ per cell) = 96.29


# 6
First-principles (GGA-PBE) data for crystalline UAg2Se3 at its relaxed geometry, as listed in Alexandria via LeMat-Bulk.

Cell and atoms, written as extended XYZ:
```
12
Lattice="-3.710 0.330 2.156 -3.391 -2.210 -5.497 2.265 -9.664 5.375" Properties=species:S:1:pos:R:3 pbc="T T T"
Se -2.284 -5.787 -0.897
Se -4.759 -2.856 -1.310
U -1.290 -7.739 1.110
Se -0.077 -8.688 3.344
Se -3.767 -9.113 1.353
Se -1.069 -2.431 0.680
U -3.545 -3.805 0.923
Ag -2.349 -1.766 -1.626
Se -2.552 -5.757 2.931
Ag -0.262 -4.287 2.352
Ag -4.574 -7.257 -0.319
Ag -2.486 -9.778 3.659
```

Values from the calculation:
- SG = P2_1/m, No. 11
- size of the total moment (μB/atom) = 0.333
- electronic total energy (eV/atom) = -5.151
- formation energy (no corrections) (eV/atom) = -0.577
- V (Å³ per cell) = 324.48


# 7
First-principles (GGA-PBE) data for crystalline U3AgSe6 at its relaxed geometry, as listed in Alexandria via LeMat-Bulk.

Cell and atoms, written as extended XYZ:
```
20
Lattice="-3.966 3.578 -4.332 -3.133 -7.491 -3.318 -5.710 1.518 6.483" Properties=species:S:1:pos:R:3 pbc="T T T"
U -11.425 -0.523 -0.661
Se -4.249 0.972 2.233
Ag -5.730 -3.764 -3.541
Se -8.633 -1.207 -0.464
Se -4.280 -4.920 -1.670
Se -5.066 -1.315 -4.367
Se -7.548 -1.256 3.414
Se -8.365 -3.544 -3.186
U -3.203 -0.232 -2.491
Se -5.955 -4.765 -6.058
U -5.698 3.346 -2.711
U -6.161 -0.733 0.973
Ag -5.256 -0.276 4.366
U -7.617 -0.788 -3.198
U -8.930 -4.101 -0.441
Se -6.409 1.968 5.378
Se -6.458 -3.665 0.974
Se -7.655 1.736 1.459
Se -5.758 0.735 -1.493
Se -3.584 -1.723 -0.055
```

Values from the calculation:
- SG = Cmc2_1, No. 36
- size of the total moment (μB/atom) = 0.700
- electronic total energy (eV/atom) = -6.751
- formation energy (no corrections) (eV/atom) = -0.989
- V (Å³ per cell) = 518.97


# 8
First-principles (GGA-PBE) data for crystalline UV2Ag2Se6 at its relaxed geometry, as listed in Alexandria via LeMat-Bulk.

Cell and atoms, written as extended XYZ:
```
11
Lattice="6.531 0.002 0.408 -3.226 5.679 0.408 -0.765 -1.315 6.720" Properties=species:S:1:pos:R:3 pbc="T T T"
Ag -1.988 4.958 0.408
Se 0.610 5.198 2.603
Se 0.890 1.530 2.038
Se 1.650 2.836 5.498
V -0.194 3.034 3.768
Se -1.677 1.267 4.934
Ag 5.293 0.722 0.408
U -0.382 -0.657 3.360
Se 4.217 3.099 2.603
V 2.734 1.331 3.768
Se 1.930 -0.832 4.934
```

Values from the calculation:
- SG = C2/m, No. 12
- size of the total moment (μB/atom) = 0.546
- electronic total energy (eV/atom) = -5.751
- formation energy (no corrections) (eV/atom) = -0.647
- V (Å³ per cell) = 256.28


# 9
First-principles (GGA-PBE) data for crystalline Y3UAg3Se8 at its relaxed geometry, as listed in Alexandria via LeMat-Bulk.

Cell and atoms, written as extended XYZ:
```
15
Lattice="-6.153 0.888 5.571 1.089 -7.307 -3.887 5.306 2.686 5.432" Properties=species:S:1:pos:R:3 pbc="T T T"
Ag -2.532 -3.209 0.842
Se 0.411 -4.620 4.335
Se -0.098 -0.974 6.302
Se 2.957 -1.393 3.488
Ag 0.000 0.000 0.000
Se -3.263 1.335 5.583
Se 3.504 -5.067 1.534
Y -0.424 1.787 5.502
Se -2.715 -2.340 3.629
Ag 0.545 -3.653 -1.943
Y 3.198 -2.310 0.773
Y 0.121 -1.866 3.558
U 2.653 1.343 2.716
Se 0.340 -2.759 0.815
Se -0.169 0.888 2.782
```

Values from the calculation:
- SG = C2/m, No. 12
- size of the total moment (μB/atom) = 0.133
- electronic total energy (eV/atom) = -5.633
- formation energy (no corrections) (eV/atom) = -1.159
- V (Å³ per cell) = 388.72


# 10
First-principles (GGA-PBE) data for crystalline Y2UAg2Se6 at its relaxed geometry, as listed in Alexandria via LeMat-Bulk.

Cell and atoms, written as extended XYZ:
```
11
Lattice="7.267 -0.081 0.450 -3.662 6.277 0.450 -0.997 -1.714 6.523" Properties=species:S:1:pos:R:3 pbc="T T T"
Se 1.823 3.133 5.409
Ag 6.003 0.654 0.450
Y 3.121 1.184 3.711
Ag -2.399 5.542 0.450
Se 0.777 5.538 2.486
Se 0.785 1.349 2.013
Se 1.830 -1.056 4.936
Se -1.822 1.069 4.936
Se 4.430 3.413 2.486
U -0.499 -0.857 3.261
Y -0.514 3.298 3.711
```

Values from the calculation:
- SG = C2/m, No. 12
- size of the total moment (μB/atom) = 0.182
- electronic total energy (eV/atom) = -5.790
- formation energy (no corrections) (eV/atom) = -1.169
- V (Å³ per cell) = 306.87